Entry from Alexandria via LeMat-Bulk: LaCoRe2 after structural relaxation (GGA-PBE).

Cell: 5.462 5.462 5.462 Å, 146.41 124.11 66.81°
Fractional positions:
Co1 0.534 0.534 0.000
La1 0.253 0.753 0.500
Re1 0.963 0.963 0.000
Re2 0.750 0.250 0.500

Results
DFT formation energy   0.68 eV per atom
Symmetry   Imm2 (44)
Energy relative to the lowest polymorph listed for this composition   0.5150 eV/atom

***

Entry from Alexandria via LeMat-Bulk: SmTm5Sc4 after structural relaxation (GGA-PBE).

Cell: 6.113 7.547 7.547 Å, 80.56 66.11 66.11°
Fractional positions:
Sm1 0.224 0.000 0.000
Tm1 0.804 0.390 0.902
Tm2 0.193 0.902 0.610
Tm3 0.706 0.098 0.390
Tm4 0.095 0.610 0.098
Tm5 0.680 0.000 0.000
Sc1 0.396 0.414 0.698
Sc2 0.810 0.698 0.586
Sc3 0.094 0.302 0.414
Sc4 0.508 0.586 0.302

Results
DFT formation energy   0.34 eV per atom
Symmetry   I4 (79)
Energy relative to the lowest polymorph listed for this composition   0.0405 eV/atom

***

Number 1: magnetic moment 0.999 μB/f.u., density 12.85 Mg/m³. Number 2: magnetic moment 0.018 μB/f.u., density 6.70 Mg/m³.